Tb12Dy2Tm5 | PBE | relaxed

extended XYZ file:
```
19
Lattice="5.7132 -2.0694 -0.7298 -6.6247 10.1611 -3.8406 0.0642 -1.8775 14.4592" Properties=species:S:1:pos:R:3 pbc="T T T"
Tm 0.0321 -0.9387 7.2296
Tm 2.6171 -1.3364 11.4867
Tm -3.4645 7.5506 -1.5978
Tm 2.0119 1.8254 6.2742
Tm -2.8593 4.3889 3.6146
Tb 0.5662 4.4884 4.4668
Tb -2.0216 4.8822 0.2150
Tb -1.4135 1.7259 5.4220
Tb 0.8757 -0.4438 3.8337
Tb -1.1147 3.4991 11.2701
Tb -1.7230 6.6581 6.0551
Tb -0.5707 2.2149 2.0254
Tb -4.3011 7.0512 1.8016
Tb 1.1743 1.3321 9.6738
Tb 0.2674 2.7152 -1.3813
Tb -0.2766 3.9994 7.8635
Tb 3.4537 -0.8369 8.0872
Dy -2.5642 6.1625 9.4607
Dy 1.7168 0.0518 0.4281
```

Energy above the lowest structure with this stoichiometry in meV per atom: 0
Calculated formation energy in eV per atom: 0.02
VASP energy in eV per atom: -4.568